Entry 1:
! CsAcGeSe4, optimized geometry, DFT PBE; values from VASP
! Raw total energy: -4.601 eV per atom
! SG: P2_1/m (11)
&SYSTEM
  ibrav = 0, nat = 14, ntyp = 4
/
ATOMIC_SPECIES
Cs 132.91 Cs.upf
Ac 227.00 Ac.upf
Ge 72.64 Ge.upf
Se 78.96 Se.upf
CELL_PARAMETERS angstrom
7.1292 0.0000 0.0000
0.0000 7.1925 0.0000
-3.0486 0.0000 9.5550
ATOMIC_POSITIONS crystal
Cs 0.2370 0.2500 0.4364
Cs 0.7630 0.7500 0.5636
Ac 0.2632 0.2500 0.9491
Ac 0.7368 0.7500 0.0509
Ge 0.2923 0.7500 0.1767
Ge 0.7077 0.2500 0.8233
Se 0.0944 0.7500 0.3274
Se 0.1024 0.7500 0.9348
Se 0.4893 0.5092 0.7872
Se 0.4893 0.9908 0.7872
Se 0.5107 0.0092 0.2128
Se 0.5107 0.4908 0.2128
Se 0.8976 0.2500 0.0652
Se 0.9056 0.2500 0.6726

Entry 2:
! LiP2Os, optimized geometry, DFT PBE; values from VASP
! SG: R3m (160)
! Energy above the lowest structure with this stoichiometry: 389 meV per atom
&SYSTEM
  ibrav = 0, nat = 4, ntyp = 3
/
ATOMIC_SPECIES
Li 6.94 Li.upf
P 30.97 P.upf
Os 190.23 Os.upf
CELL_PARAMETERS angstrom
1.4640 0.8452 7.6533
-1.4640 0.8452 7.6533
0.0000 -1.6905 7.6533
ATOMIC_POSITIONS crystal
Li 0.0000 0.0000 0.0000
P 0.4965 0.4965 0.4965
P 0.7514 0.7514 0.7514
Os 0.2340 0.2340 0.2340

Entry 3:
! CsTlOs2Pt, optimized geometry, DFT PBE; values from VASP
! Raw total energy: -3.199 eV per atom
! SG: P4/mmm (123)
&SYSTEM
  ibrav = 0, nat = 5, ntyp = 4
/
ATOMIC_SPECIES
Cs 132.91 Cs.upf
Tl 204.38 Tl.upf
Os 190.23 Os.upf
Pt 195.08 Pt.upf
CELL_PARAMETERS angstrom
5.1219 0.0000 0.0000
0.0000 5.1219 0.0000
0.0000 0.0000 5.2302
ATOMIC_POSITIONS crystal
Cs 0.0000 0.0000 0.0000
Tl 0.5000 0.5000 0.5000
Os 0.0000 0.5000 0.0000
Os 0.5000 0.0000 0.0000
Pt 0.0000 0.0000 0.5000